one:
## LiZnNi2H (PBE-GGA)

Data for LiZnNi2H after structural relaxation.

Geometry as extended XYZ:
```
5
Lattice="-0.176 -1.079 -3.446 3.444 -1.089 0.165 -1.111 -3.347 1.105" Properties=species:S:1:pos:R:3 pbc="T T T"
Ni 1.722 -0.545 0.083
Ni -0.088 -0.540 -1.723
Zn 1.078 -2.757 -1.088
H 0.000 0.000 0.000
Li -0.556 -1.673 0.552
```

- density of states at the Fermi level (states/eV/atom) = 0.269
- space group = No. 123
- V (Å³/cell) = 48

***

two:
## LiZnNi2H (PBE-GGA)

Data for LiZnNi2H after structural relaxation.

Geometry as extended XYZ:
```
5
Lattice="-2.321 1.266 2.447 -0.606 -3.356 1.162 2.861 0.358 2.528" Properties=species:S:1:pos:R:3 pbc="T T T"
Ni -0.303 -1.678 0.581
Ni -1.161 0.633 1.224
Zn 1.430 0.179 1.264
H 0.000 0.000 0.000
Li -0.033 -0.866 3.068
```

- density of states at the Fermi level (states/eV/atom) = 0.286
- space group = No. 123
- V (Å³/cell) = 50

***

Energetically preferred structure: one | next structure: +165 meV/atom